[1]
The following is a DFT calculation (PBE) of crystalline CsReN2O at its relaxed geometry.

Values from the calculation:
**Energy relative to the elements, uncorrected**: 15.68 eV/f.u.
**DOS(E_F)**: 2.7 states/eV per cell

Cell and atoms, written as CIF:
```
data_CsReN2O
_cell_length_a 4.438
_cell_length_b 4.438
_cell_length_c 4.293
_cell_angle_alpha 90.00
_cell_angle_beta 90.00
_cell_angle_gamma 90.00
_space_group_name_H-M_alt 'P 1'
_space_group_IT_number 1
loop_
_space_group_symop_operation_xyz
'x,y,z'
loop_
_atom_site_label
_atom_site_type_symbol
_atom_site_fract_x
_atom_site_fract_y
_atom_site_fract_z
Cs1 Cs 0.000 0.000 0.000
Re1 Re 0.500 0.500 0.500
N1 N 0.000 0.500 0.000
N2 N 0.500 0.000 0.000
O1 O 0.000 0.000 0.500
```

[2]
The following is a DFT calculation (PBE) of crystalline PrPuPaN3 at its relaxed geometry.

Values from the calculation:
**Energy relative to the elements, uncorrected**: -7.30 eV/f.u.
**DOS(E_F)**: 15.2 states/eV per cell

Cell and atoms, written as CIF:
```
data_PrPuPaN3
_cell_length_a 7.081
_cell_length_b 3.458
_cell_length_c 8.772
_cell_angle_alpha 90.00
_cell_angle_beta 92.97
_cell_angle_gamma 90.00
_space_group_name_H-M_alt 'P 1'
_space_group_IT_number 1
loop_
_space_group_symop_operation_xyz
'x,y,z'
loop_
_atom_site_label
_atom_site_type_symbol
_atom_site_fract_x
_atom_site_fract_y
_atom_site_fract_z
Pr1 Pr 0.113 0.250 0.336
Pr2 Pr 0.887 0.750 0.664
Pu1 Pu 0.200 0.250 0.948
Pu2 Pu 0.800 0.750 0.052
Pa1 Pa 0.388 0.750 0.649
Pa2 Pa 0.612 0.250 0.351
N1 N 0.116 0.750 0.097
N2 N 0.167 0.250 0.637
N3 N 0.394 0.750 0.400
N4 N 0.606 0.250 0.600
N5 N 0.833 0.750 0.363
N6 N 0.884 0.250 0.903
```

[3]
The following is a DFT calculation (PBE) of crystalline BeCrNi at its relaxed geometry.

Values from the calculation:
**Energy relative to the elements**: 0.707 eV/atom
**DOS(E_F)**: 0.1 states/eV per cell
**Energy relative to the lowest polymorph listed for this composition**: 0.869 eV/atom

Cell and atoms, written as CIF:
```
data_BeCrNi
_cell_length_a 3.731
_cell_length_b 3.731
_cell_length_c 3.731
_cell_angle_alpha 60.00
_cell_angle_beta 60.00
_cell_angle_gamma 60.00
_space_group_name_H-M_alt 'P 1'
_space_group_IT_number 1
loop_
_space_group_symop_operation_xyz
'x,y,z'
loop_
_atom_site_label
_atom_site_type_symbol
_atom_site_fract_x
_atom_site_fract_y
_atom_site_fract_z
Be1 Be 0.000 0.000 0.000
Cr1 Cr 0.750 0.750 0.750
Ni1 Ni 0.500 0.500 0.500
```